# 1
Material: Tl
Method: DFT, PBE
State: relaxed

POSCAR file:
```
Tl
1.0
-6.394 1.570 -5.418
-7.978 -0.527 -2.961
-7.625 3.001 -2.356
Tl
3
Direct
0.221 0.221 0.221
0.779 0.779 0.779
0.000 0.000 0.000
```

- SG: R-3m, No. 166
- Polymorph energy (0 for the lowest one): 0.01 eV/f.u.
- Formation enthalpy at 0 K: 0.005 eV/atom

***

# 2
Material: LaHfP2
Method: DFT, PBE
State: relaxed

POSCAR file:
```
LaHfP2
1.0
0.000 3.427 3.427
3.427 0.000 3.427
3.427 3.427 0.000
P La Hf
2 1 1
Direct
0.250 0.250 0.250
0.750 0.750 0.750
0.000 0.000 0.000
0.500 0.500 0.500
```

- SG: Fm-3m, No. 225
- Polymorph energy (0 for the lowest one): 2.39 eV/f.u.
- Formation enthalpy at 0 K: -0.826 eV/atom

***

# 3
Material: MgMoH
Method: DFT, PBE
State: relaxed

POSCAR file:
```
MgMoH
1.0
2.991 0.000 0.000
0.000 4.788 0.000
0.000 0.000 5.165
Mg Mo H
2 2 2
Direct
0.500 0.504 0.223
0.000 0.496 0.723
0.500 0.000 0.557
0.000 0.000 0.057
0.500 0.831 0.891
0.000 0.169 0.391
```

- SG: Pmn2_1, No. 31
- Polymorph energy (0 for the lowest one): 0.10 eV/f.u.

***

# 4
Material: Ba2PdNCl
Method: DFT, PBE
State: relaxed

POSCAR file:
```
Ba2PdNCl
1.0
5.671 0.000 0.000
0.000 5.671 0.000
0.000 0.000 4.019
Cl Pd Ba N
1 1 2 1
Direct
0.500 0.500 0.500
0.000 0.000 0.500
0.500 0.000 0.000
0.000 0.500 0.000
0.000 0.000 0.000
```

- SG: P4/mmm, No. 123
- Energy relative to the elements, uncorrected: -0.971 eV/atom

***

# 5
Material: Tb7In2C2
Method: DFT, PBE
State: relaxed

POSCAR file:
```
Tb7In2C2
1.0
-2.520 1.596 1.808
-6.608 0.379 -6.180
-4.778 -7.096 2.970
Tb In C
7 2 2
Direct
0.211 0.713 0.865
0.864 0.341 0.932
0.136 0.068 0.659
0.500 0.016 0.984
0.639 0.484 0.239
0.789 0.135 0.287
0.361 0.761 0.516
0.000 0.790 0.210
0.500 0.400 0.600
0.704 0.868 0.724
0.296 0.276 0.132
```

- SG: Imm2, No. 44
- Formation enthalpy at 0 K: -0.144 eV/atom

***

# 6
Material: FeMoP2
Method: DFT, PBE
State: relaxed

POSCAR file:
```
FeMoP2
1.0
-1.849 1.021 -2.683
-2.470 0.155 1.761
1.093 4.872 1.100
Fe P Mo
1 2 1
Direct
0.500 0.250 0.250
0.000 0.250 0.509
0.000 0.250 0.991
0.500 0.750 0.750
```

- SG: Pmmm, No. 47
- Formation enthalpy at 0 K: -0.153 eV/atom

***

Copy entry 5 word for word.
Material: Tb7In2C2
Method: DFT, PBE
State: relaxed

POSCAR file:
```
Tb7In2C2
1.0
-2.520 1.596 1.808
-6.608 0.379 -6.180
-4.778 -7.096 2.970
Tb In C
7 2 2
Direct
0.211 0.713 0.865
0.864 0.341 0.932
0.136 0.068 0.659
0.500 0.016 0.984
0.639 0.484 0.239
0.789 0.135 0.287
0.361 0.761 0.516
0.000 0.790 0.210
0.500 0.400 0.600
0.704 0.868 0.724
0.296 0.276 0.132
```

- SG: Imm2, No. 44
- Formation enthalpy at 0 K: -0.144 eV/atom